ZnFeTe2O6 | GGA+U | relaxed Values from VASP.

The structure in Quantum ESPRESSO input format:
```
&SYSTEM
  ibrav = 0, nat = 20, ntyp = 4
/
ATOMIC_SPECIES
Te 127.60 Te.upf
O 16.00 O.upf
Zn 65.41 Zn.upf
Fe 55.84 Fe.upf
CELL_PARAMETERS angstrom
5.690 0.227 0.236
2.133 7.236 1.360
2.133 1.091 7.282
ATOMIC_POSITIONS crystal
Te 0.240 0.871 0.604
O 0.892 0.373 0.777
Zn 0.250 0.250 0.750
O 0.109 0.632 0.773
O 0.108 0.627 0.223
O 0.391 0.227 0.368
O 0.836 0.021 0.172
Fe 0.750 0.114 0.886
O 0.891 0.368 0.227
Te 0.740 0.604 0.871
O 0.336 0.172 0.021
Te 0.260 0.396 0.129
O 0.664 0.828 0.979
Zn 0.750 0.750 0.250
Fe 0.250 0.886 0.114
O 0.392 0.777 0.373
O 0.609 0.773 0.632
Te 0.760 0.129 0.396
O 0.608 0.223 0.627
O 0.164 0.979 0.828
```

* E_tot: -106.93 eV per cell
* space group: C2/c (15)